The following is a DFT calculation (PBE-GGA) of crystalline SrZn12Ni4 at its relaxed geometry.

```
SrZn12Ni4
1.0
-4.5354 4.5354 4.5354
4.5354 -4.5354 4.5354
4.5354 4.5354 -4.5354
Sr Zn Ni
1 12 4
Cartesian
0.0000 0.0000 0.0000
4.5354 -1.8734 1.8861
2.6620 2.6493 0.0000
6.4089 2.6493 0.0000
1.8861 4.5354 -1.8734
2.6493 0.0000 2.6620
4.5354 1.8734 1.8861
0.0000 2.6620 2.6493
1.8861 4.5354 1.8734
2.6493 0.0000 6.4089
-1.8734 1.8861 4.5354
1.8734 1.8861 4.5354
0.0000 6.4089 2.6493
2.2677 2.2677 -2.2677
2.2677 -2.2677 2.2677
-2.2677 2.2677 2.2677
2.2677 2.2677 2.2677
```

Computed properties:
The total energy is -2.29 eV per atom. The calculation puts the theoretical density at 4.9 Mg/m³. The total moment is 0.0 μB/f.u.

***

The following is a DFT calculation (PBE-GGA) of crystalline SrZnNi at its relaxed geometry.

```
SrZnNi
1.0
4.4079 0.0000 0.0000
0.0000 4.4079 0.0000
0.0000 0.0000 7.2579
Sr Zn Ni
2 2 2
Cartesian
1.1020 1.1020 1.4379
3.3059 3.3059 5.8200
1.1020 1.1020 4.7642
3.3059 3.3059 2.4937
1.1020 3.3059 3.6290
3.3059 1.1020 3.6290
```

Computed properties:
The total energy is -3.08 eV per atom. The calculation puts the theoretical density at 5.0 Mg/m³. The total moment is 0.0 μB/f.u.